# CdFe2Se | Alexandria via LeMat-Bulk | GGA-PBE | relaxed
# - ρ: 8.05 g/cm³
# - DOS at the Fermi energy: 2.07 states/eV/f.u.
# - E_form (uncorrected): 0.310 eV per atom
# - Space-group type: R-3m (166)
# - Crystal system: trigonal
# - Final energy: -20.083 eV per cell
data_CdFe2Se
_chemical_formula_sum 'Cd1 Fe2 Se1'
_cell_length_a 8.3232
_cell_length_b 8.3232
_cell_length_c 8.3232
_cell_angle_alpha 20.61
_cell_angle_beta 20.61
_cell_angle_gamma 20.61
_space_group_name_H-M_alt 'P 1'
_space_group_IT_number 1
loop_
_space_group_symop_operation_xyz
'x,y,z'
loop_
_atom_site_label
_atom_site_type_symbol
_atom_site_fract_x
_atom_site_fract_y
_atom_site_fract_z
_atom_site_occupancy
Cd1 Cd 0.0000 0.0000 0.0000 1
Fe1 Fe 0.2409 0.2409 0.2409 1
Fe2 Fe 0.7591 0.7591 0.7591 1
Se1 Se 0.5000 0.5000 0.5000 1